Version 1
5
Lattice="4.2373 0.0000 0.0000 0.0000 4.2373 0.0000 0.0000 0.0000 4.2373" Properties=species:S:1:pos:R:3 comment="CrNi3P, relaxed, DFT GGA-PBE" volume_a3_per_cell=76.1 n_ef_per_ev_atom=1.34 rho_g_cm3=5.654 sg="No. 221" m_tot_mub_per_cell=0.0 pbc="T T T"
Cr 0.0000 0.0000 0.0000
Ni 2.1187 0.0000 0.0000
Ni 0.0000 0.0000 2.1187
Ni 0.0000 2.1187 0.0000
P 2.1187 2.1187 2.1187

Version 2
5
Lattice="4.1416 0.0000 0.0000 0.0000 4.1416 0.0000 0.0000 0.0000 4.1416" Properties=species:S:1:pos:R:3 comment="CrNi3P, relaxed, DFT GGA-PBE" volume_a3_per_cell=71.0 n_ef_per_ev_atom=1.05 rho_g_cm3=6.055 sg="No. 221" m_tot_mub_per_cell=4.4 pbc="T T T"
Ni 0.0000 0.0000 2.0708
Ni 2.0708 0.0000 0.0000
Ni 0.0000 2.0708 0.0000
P 0.0000 0.0000 0.0000
Cr 2.0708 2.0708 2.0708

The most stable of them is version 2.

Version 1
4
Lattice="-1.1056 -1.4732 3.7063 0.0404 -3.5539 -1.4006 5.0551 -2.2292 0.6218" Properties=species:S:1:pos:R:3 comment="CrNiPb2, relaxed, DFT GGA-PBE" volume_a3_per_cell=82.6 n_ef_per_ev_atom=0.77 rho_g_cm3=10.554 sg="No. 6" m_tot_mub_per_cell=3.6 pbc="T T T"
Cr 2.4943 -3.5531 -0.6683
Ni 3.3371 -4.4136 1.5520
Pb 4.6800 -5.5253 -0.8002
Pb 1.1218 -2.4390 1.6760

Version 2
4
Lattice="3.2558 0.0000 0.0000 0.0000 3.2559 0.0000 0.0000 0.0000 8.2128" Properties=species:S:1:pos:R:3 comment="CrNiPb2, relaxed, DFT GGA-PBE" volume_a3_per_cell=87.1 n_ef_per_ev_atom=1.26 rho_g_cm3=10.015 sg="No. 99" m_tot_mub_per_cell=3.3 pbc="T T T"
Cr 0.0000 0.0000 4.6255
Pb 0.0000 0.0000 7.5729
Pb 1.6279 1.6280 2.6236
Ni 1.6279 1.6280 5.7101

The most stable of them is version 2.

Version 1
4
Lattice="-4.5997 1.6112 0.8897 -3.8231 -1.9164 -2.5012 -3.2501 -2.9384 2.3126" Properties=species:S:1:pos:R:3 comment="CrNiPb2, relaxed, DFT GGA-PBE" volume_a3_per_cell=86.0 n_ef_per_ev_atom=0.64 rho_g_cm3=10.140 sg="No. 216" m_tot_mub_per_cell=4.1 pbc="T T T"
Ni -8.7547 -2.4327 0.5258
Pb 0.0000 0.0000 0.0000
Pb -2.9182 -0.8109 0.1753
Cr -5.8365 -1.6218 0.3505

Version 2
4
Lattice="-0.3118 -2.5994 -2.1874 3.0478 0.7621 -1.3401 6.6304 -3.4658 3.1736" Properties=species:S:1:pos:R:3 comment="CrNiPb2, relaxed, DFT GGA-PBE" volume_a3_per_cell=83.1 n_ef_per_ev_atom=0.60 rho_g_cm3=10.494 sg="No. 10" m_tot_mub_per_cell=4.5 pbc="T T T"
Pb 6.5762 -3.3686 3.0658
Pb 4.8934 -1.4491 1.0245
Ni 7.1028 -3.3275 0.2814
Cr 2.2637 -1.9756 -0.6353

Version 3
4
Lattice="8.6636 -0.0455 -0.0269 8.0037 3.3169 -0.0269 8.0037 1.5709 2.9214" Properties=species:S:1:pos:R:3 comment="CrNiPb2, relaxed, DFT GGA-PBE" volume_a3_per_cell=85.8 n_ef_per_ev_atom=0.39 rho_g_cm3=10.166 sg="No. 166" m_tot_mub_per_cell=4.6 pbc="T T T"
Ni 18.5033 3.6318 2.1507
Pb 12.1203 2.3789 1.4088
Pb 0.2152 0.0422 0.0250
Cr 6.1678 1.2106 0.7169

Version 4
4
Lattice="-0.6599 -2.4482 3.8094 -0.8804 -4.3819 0.9824 5.4237 -2.2679 1.1281" Properties=species:S:1:pos:R:3 comment="CrNiPb2, relaxed, DFT GGA-PBE" volume_a3_per_cell=84.5 n_ef_per_ev_atom=0.80 rho_g_cm3=10.324 sg="No. 12" m_tot_mub_per_cell=4.2 pbc="T T T"
Pb 2.0795 -4.5183 2.9282
Pb 5.2860 -2.2986 1.1599
Ni 2.9126 -6.8235 4.4400
Cr 0.9709 -2.2745 1.4800

The most stable of them is version 2.

Version 1
12
Lattice="3.5820 0.0000 0.0000 0.0000 5.3318 0.0000 -1.7910 0.0000 7.7241" Properties=species:S:1:pos:R:3 comment="CrNi4Pd, relaxed, DFT GGA-PBE" volume_a3_per_cell=147.5 n_ef_per_ev_atom=1.42 rho_g_cm3=8.852 sg="No. 63" m_tot_mub_per_cell=1.4 pbc="T T T"
Pd 0.0000 1.3329 1.4742
Pd 1.7910 3.9988 6.2499
Cr 0.0000 3.9988 3.5781
Cr 1.7910 1.3329 4.1460
Ni 0.0000 0.1720 5.2347
Ni 1.7910 2.6659 0.0000
Ni 1.7910 5.1598 2.4894
Ni 0.0000 2.4939 5.2347
Ni 1.7910 1.3329 6.5626
Ni 0.0000 3.9988 1.1615
Ni 1.7910 2.8378 2.4894
Ni 1.7910 0.0000 0.0000

Version 2
6
Lattice="4.7012 0.0000 0.0000 2.3506 4.0713 0.0000 2.3506 1.3571 3.8385" Properties=species:S:1:pos:R:3 comment="CrNi4Pd, relaxed, DFT GGA-PBE" volume_a3_per_cell=73.5 n_ef_per_ev_atom=2.26 rho_g_cm3=8.887 sg="No. 216" m_tot_mub_per_cell=1.7 pbc="T T T"
Ni 4.7012 2.7142 0.4820
Ni 4.7012 1.3592 2.3983
Ni 5.8747 3.3917 2.3983
Ni 3.5277 3.3917 2.3983
Pd 0.0000 0.0000 0.0000
Cr 2.3506 1.3571 0.9596

The most stable of them is version 2.